Entry 1
Li2TbAu3: relaxed, PBE.

```
Li2TbAu3
1.0
-1.1918 3.4254 2.6361
1.3461 -3.8688 1.8229
12.2514 4.2626 -0.0001
Au Li Tb
6 4 2
Cartesian
2.1224 -0.8730 2.0939 Au
10.2833 4.6922 2.3649 Au
7.4022 3.6898 2.3649 Au
0.0000 0.0000 0.0000 Au
6.1257 2.1313 -0.0001 Au
5.0036 0.1295 2.0939 Au
11.9060 2.5310 2.0938 Li
4.9343 2.8311 2.3650 Li
0.4997 1.2882 2.3650 Li
7.4714 0.9881 2.0939 Li
9.1886 3.1970 -0.0001 Tb
3.0629 1.0657 0.0000 Tb
```

**Crystal system**: hexagonal
**Space group**: P6_3/mmc



Entry 2
Li2TbAu3: relaxed, PBE.

```
Li2TbAu3
1.0
-1.3941 -1.1865 4.1641
-2.1330 -1.6425 -3.6665
7.9034 -9.8835 -0.1703
Li Tb Au
4 2 6
Cartesian
0.0000 0.0000 0.0000 Li
5.1547 -9.8359 1.4075 Li
3.9517 -4.9417 -0.0851 Li
-0.7783 -2.8766 -1.0802 Li
0.8801 -4.4904 1.4996 Tb
3.4963 -8.2221 -1.1723 Tb
1.6213 -2.0275 -0.0349 Au
1.5965 -5.8463 -1.1314 Au
6.2822 -7.8560 -0.1353 Au
-1.0356 -2.0948 1.5408 Au
2.7799 -6.8662 1.4587 Au
5.4120 -10.6176 -1.2136 Au
```

**Crystal system**: trigonal
**Space group**: P-3m1



Most stable of them? entry 2.



Entry 1
Li3TbAu3: relaxed, PBE.

```
Li3TbAu3
1.0
-2.8752 -5.8242 1.6051
5.5623 -3.2458 -1.8138
2.3576 0.5550 6.2368
Li Au Tb
6 6 2
Cartesian
3.3706 -1.4841 0.6523 Li
-0.0470 -3.7235 0.3491 Li
-0.9776 -4.0907 4.3222 Li
4.5494 -1.2067 3.7707 Li
2.7341 -5.3464 -0.5578 Li
0.4600 -1.1786 3.5197 Li
2.0624 -3.0789 -0.5056 Au
0.6248 -5.9910 0.2969 Au
0.3306 -2.4959 5.4802 Au
-0.8482 -2.7734 2.3618 Au
5.3505 -2.1568 1.7580 Au
2.5694 -0.5340 2.6649 Au
2.5224 -4.2575 3.0140 Tb
0.0000 0.0000 0.0000 Tb
```

**Crystal system**: cubic
**Space group**: Pm-3n



Entry 2
Li3TbAu3: relaxed, PBE.

```
Li3TbAu3
1.0
6.8801 0.0000 0.0000
3.4401 5.9584 0.0000
3.4401 1.9861 6.6619
Au Li Tb
6 6 2
Cartesian
7.7282 1.4539 1.3528 Au
4.2752 4.4970 1.3528 Au
6.0321 6.4906 5.3091 Au
5.1232 1.9786 5.3091 Au
9.4851 3.4475 5.3091 Au
8.6371 5.9659 1.3528 Au
4.6332 4.5775 4.0115 Li
9.1271 3.3670 2.6504 Li
8.5277 5.6155 4.0115 Li
6.2808 6.2207 2.6504 Li
5.2326 2.3290 2.6504 Li
7.4795 1.7238 4.0115 Li
6.8802 3.9723 6.5575 Tb
6.8802 3.9723 0.1044 Tb
```

**Crystal system**: trigonal
**Space group**: R-3



Most stable of them? entry 2.



Entry 1
LiTb2Au6: relaxed, PBE.

```
LiTb2Au6
1.0
5.3771 -0.0232 -0.0134
0.0274 6.2315 0.0067
0.0274 3.1105 5.3997
Au Tb Li
6 2 1
Cartesian
1.6496 7.6743 4.4413 Au
3.7822 1.6445 0.9517 Au
3.7950 4.5529 0.9546 Au
1.6369 4.7659 4.4384 Au
1.6369 6.2228 1.9210 Au
3.7950 3.0960 3.4720 Au
1.0100 3.1098 1.7997 Tb
4.4219 6.2090 3.5933 Tb
0.0000 0.0000 0.0000 Li
```

**Crystal system**: trigonal
**Space group**: P-3m1



Entry 2
LiTb2Au6: relaxed, PBE.

```
LiTb2Au6
1.0
-0.2144 5.1388 0.8225
-3.6528 1.1784 -8.1876
-5.3064 -1.3528 7.1959
Li Au Tb
2 12 4
Cartesian
-4.2271 4.3996 -3.7239 Li
-4.9465 0.5649 3.5546 Li
-3.2574 6.0906 -5.9551 Au
-5.5626 1.7871 -4.2982 Au
-3.7984 5.2627 -0.9239 Au
-2.6770 1.8736 -3.9738 Au
-3.9771 2.2555 1.3251 Au
-4.5178 1.4278 6.3564 Au
-4.6558 3.5367 -6.5256 Au
-5.1965 2.7090 -1.4944 Au
-5.3753 -0.2982 0.7547 Au
-3.6110 3.1774 4.1290 Au
-6.4966 3.0910 3.8046 Au
-5.9162 -1.1261 5.7858 Au
-2.5988 4.8740 1.9192 Tb
-6.9712 2.2174 1.0121 Tb
-2.2025 2.7471 -1.1813 Tb
-6.5749 0.0905 -2.0884 Tb
```

**Crystal system**: monoclinic
**Space group**: C2/m



Most stable of them? entry 2.



Entry 1
Li4Tb3Au4: relaxed, PBE.

```
Li4Tb3Au4
1.0
-3.8690 0.5955 -1.0033
-0.5716 -7.4709 -2.2304
0.2140 1.6060 8.2666
Tb Au Li
3 4 4
Cartesian
-0.2858 -3.7355 -1.1152 Tb
-0.4845 -0.4423 1.6059 Tb
-3.7421 -4.8271 3.4271 Tb
-1.1767 -4.5488 1.8375 Au
-3.0500 -0.7206 3.1954 Au
-2.3932 -5.6970 -2.2913 Au
-2.0474 -1.1784 -0.9423 Au
-1.1868 0.2672 4.7353 Li
-3.0399 -5.5366 0.2977 Li
-1.4090 -2.6371 3.8682 Li
-2.8176 -2.6323 1.1647 Li
```

**Crystal system**: orthorhombic
**Space group**: Immm



Entry 2
Li4Tb3Au4: relaxed, PBE.

```
Li4Tb3Au4
1.0
3.6541 0.0002 0.0048
0.0002 4.3062 0.0145
1.8277 2.1786 14.4290
Au Li Tb
4 4 3
Cartesian
3.6574 4.3281 12.9867 Au
3.6520 2.1764 9.1384 Au
1.8246 2.1570 1.4617 Au
1.8300 4.3088 5.3097 Au
1.8307 4.3086 2.7162 Li
3.6513 2.1765 11.7321 Li
1.8282 2.1617 7.1268 Li
3.6539 4.3235 7.3213 Li
3.6573 2.1559 4.1410 Tb
1.8247 4.3292 10.3072 Tb
0.0000 0.0000 0.0001 Tb
```

**Crystal system**: triclinic
**Space group**: P-1



Most stable of them? entry 1.



Entry 1
LiTbZnAu: relaxed, PBE.

```
LiTbZnAu
1.0
4.5715 0.0000 0.0000
0.0000 4.5719 -0.0020
-2.2858 -2.2860 3.6772
Tb Li Zn Au
1 1 1 1
Cartesian
0.0000 2.2865 1.8371 Tb
0.0000 0.0013 3.6760 Li
2.2858 -0.0017 1.8381 Zn
0.0000 4.5718 -0.0018 Au
```

**Crystal system**: tetragonal
**Space group**: I-4m2



Entry 2
LiTbZnAu: relaxed, PBE.

```
LiTbZnAu
1.0
-1.1300 -4.4007 1.6557
3.3147 -2.6252 2.3463
-0.4375 -0.7550 4.7563
Zn Tb Li Au
1 1 1 1
Cartesian
0.0000 0.0000 0.0000 Zn
1.3104 -5.8356 6.5688 Tb
0.4368 -1.9452 2.1896 Li
0.8736 -3.8904 4.3792 Au
```

**Crystal system**: cubic
**Space group**: F-43m



Most stable of them? entry 2.



Entry 1
Li2TcAu: relaxed, PBE.

```
Li2TcAu
1.0
4.5475 0.0000 0.0000
0.0000 2.6170 0.0038
0.0000 0.1915 5.0679
Li Au Tc
2 1 1
Cartesian
0.0000 1.6193 2.4677 Li
0.0000 2.4020 0.0719 Li
2.2738 2.1064 3.8037 Au
2.2738 0.7021 1.2679 Tc
```

**Crystal system**: monoclinic
**Space group**: P2/m



Entry 2
Li2TcAu: relaxed, PBE.

```
Li2TcAu
1.0
2.6052 0.0000 0.0000
0.0000 3.8706 0.0000
0.0000 0.0000 5.7538
Li Au Tc
2 1 1
Cartesian
0.0000 0.0000 5.7364 Li
0.0000 0.0000 2.8944 Li
1.3026 1.9353 4.3154 Au
1.3026 1.9353 1.4385 Tc
```

**Crystal system**: orthorhombic
**Space group**: Pmmm



Most stable of them? entry 1.



Entry 1
Li2TcAu: relaxed, PBE.

```
Li2TcAu
1.0
-3.3481 2.1625 3.6987
-1.6871 -3.1477 4.1003
3.9228 2.5971 -2.7264
Li Au Tc
2 1 1
Cartesian
-0.0301 -0.0059 0.0467 Li
-2.4874 -0.4867 3.8528 Li
-0.1409 -0.5216 2.6367 Au
-0.9714 2.1335 2.4359 Tc
```

**Crystal system**: orthorhombic
**Space group**: Immm



Entry 2
Li2TcAu: relaxed, PBE.

```
Li2TcAu
1.0
4.4284 -0.0009 0.0000
0.0290 4.4283 0.0000
-2.2287 -2.2137 3.1214
Li Tc Au
2 1 1
Cartesian
0.0145 2.2142 1.5607 Li
0.0000 0.0000 0.0000 Li
2.2287 2.2137 0.0000 Tc
2.2142 -0.0004 1.5607 Au
```

**Crystal system**: tetragonal
**Space group**: I-4m2



Most stable of them? entry 1.



Entry 1
Li2TcAu: relaxed, PBE.

```
Li2TcAu
1.0
3.8529 0.0000 0.0000
0.0000 3.8529 0.0000
0.0000 0.0000 4.1450
Au Tc Li
1 1 2
Cartesian
0.0000 1.9265 2.0725 Au
1.9265 0.0000 2.0725 Tc
1.9265 1.9265 0.0000 Li
0.0000 0.0000 0.0000 Li
```

**Crystal system**: tetragonal
**Space group**: P4/mmm



Entry 2
Li2TcAu: relaxed, PBE.

```
Li2TcAu
1.0
4.8316 0.0024 -0.0152
4.1091 2.5416 -0.0152
0.7999 0.2276 4.9056
Au Li Tc
1 2 1
Cartesian
2.4352 0.6929 1.2188 Au
9.7121 2.7635 4.8283 Li
4.8989 1.3939 2.4844 Li
7.3055 2.0787 3.6564 Tc
```

**Crystal system**: monoclinic
**Space group**: C2/m



Entry 3
Li2TcAu: relaxed, PBE.

```
Li2TcAu
1.0
-7.9338 2.6783 -4.3780
-8.1445 -0.0275 -4.7908
-9.0613 1.0797 -2.4520
Tc Li Au
1 2 1
Cartesian
-6.2849 0.9326 -2.9052 Tc
-12.6109 1.8714 -5.8294 Li
-25.0984 3.7245 -11.6019 Li
-18.8547 2.7979 -8.7156 Au
```

**Crystal system**: trigonal
**Space group**: R-3m



Most stable of them? entry 2.